Record 1
# PBE Mg2HIr, optimized geometry
data_Mg2HIr
_chemical_formula_sum 'Mg2 H1 Ir1'
_symmetry_space_group_name_H-M 'P 1 m 1'
_symmetry_Int_Tables_number 6
_cell_length_a 4.532
_cell_length_b 3.018
_cell_length_c 4.545
_cell_angle_alpha 90.00
_cell_angle_beta 91.62
_cell_angle_gamma 90.00
loop_
_symmetry_equiv_pos_as_xyz
'x,y,z'
'x,-y,z'
loop_
_atom_site_label
_atom_site_type_symbol
_atom_site_fract_x
_atom_site_fract_y
_atom_site_fract_z
Mg1 Mg 0.000 0.000 0.000
Mg2 Mg 0.475 0.000 0.524
H1 H 0.764 0.500 0.293
Ir1 Ir 0.503 0.500 0.027
# - E above lowest polymorph: 26 meV/atom
# - Density of states at the Fermi level: 1.1 states/eV per cell
# - Total energy: -4.155 eV/atom


Record 2
# PBE InMoW2, optimized geometry
data_InMoW2
_chemical_formula_sum 'In1 Mo1 W2'
_symmetry_space_group_name_H-M 'P 4/m m m'
_symmetry_Int_Tables_number 123
_symmetry_space_group_name_Hall '-P 4 2'
_cell_length_a 4.028
_cell_length_b 4.028
_cell_length_c 4.184
_cell_angle_alpha 90.00
_cell_angle_beta 90.00
_cell_angle_gamma 90.00
loop_
_atom_site_label
_atom_site_type_symbol
_atom_site_fract_x
_atom_site_fract_y
_atom_site_fract_z
In1 In 0.000 0.000 0.000
Mo1 Mo 0.500 0.500 0.000
W1 W 0.000 0.500 0.500
# - ΔH_f (0 K): 0.478 eV/atom
# - Density of states at the Fermi level: 1.9 states/eV per cell
# - Total energy: -9.391 eV/atom


Record 3
# PBE LiMgTlCu, optimized geometry
data_LiMgTlCu
_chemical_formula_sum 'Li4 Mg4 Tl4 Cu4'
_symmetry_space_group_name_H-M 'F -4 3 m'
_symmetry_Int_Tables_number 216
_symmetry_space_group_name_Hall 'F -4 2 3'
_cell_length_a 6.531
_cell_length_b 6.531
_cell_length_c 6.531
_cell_angle_alpha 90.00
_cell_angle_beta 90.00
_cell_angle_gamma 90.00
loop_
_atom_site_label
_atom_site_type_symbol
_atom_site_fract_x
_atom_site_fract_y
_atom_site_fract_z
Li1 Li 0.000 0.000 0.000
Mg1 Mg 0.250 0.250 0.750
Tl1 Tl 0.250 0.250 0.250
Cu1 Cu 0.000 0.000 0.500
# - ΔH_f (0 K): -0.098 eV/atom
# - Density of states at the Fermi level: 10.6 states/eV per cell
# - Total energy: -2.591 eV/atom


Record 4
# PBE NaLaAgTe2, optimized geometry
data_NaLaAgTe2
_chemical_formula_sum 'Na1 La1 Ag1 Te2'
_symmetry_space_group_name_H-M 'P 4/m m m'
_symmetry_Int_Tables_number 123
_symmetry_space_group_name_Hall '-P 4 2'
_cell_length_a 6.151
_cell_length_b 6.151
_cell_length_c 5.928
_cell_angle_alpha 90.00
_cell_angle_beta 90.00
_cell_angle_gamma 90.00
loop_
_atom_site_label
_atom_site_type_symbol
_atom_site_fract_x
_atom_site_fract_y
_atom_site_fract_z
Na1 Na 0.000 0.000 0.000
La1 La 0.500 0.500 0.500
Ag1 Ag 0.500 0.500 0.000
Te1 Te 0.000 0.500 0.500
# - Formation energy (no corrections): -0.350 eV/atom
# - Density of states at the Fermi level: 2.5 states/eV per cell
# - Total energy: -3.426 eV/atom


Record 5
# PBE LaPu2Ge2Pd2, optimized geometry
data_LaPu2Ge2Pd2
_chemical_formula_sum 'La3 Pu6 Ge6 Pd6'
_symmetry_space_group_name_H-M 'R -3 m'
_symmetry_Int_Tables_number 166
_symmetry_space_group_name_Hall '-R 3 2"'
_cell_length_a 4.2360
_cell_length_b 4.2360
_cell_length_c 27.1388
_cell_angle_alpha 90.00
_cell_angle_beta 90.00
_cell_angle_gamma 120.00
loop_
_atom_site_label
_atom_site_type_symbol
_atom_site_fract_x
_atom_site_fract_y
_atom_site_fract_z
La1 La 0.0000 0.0000 0.0000
Pu1 Pu 0.0000 0.0000 0.1545
Ge1 Ge 0.0000 0.0000 0.2617
Pd1 Pd 0.0000 0.0000 0.4294
# - ΔH_f (0 K): -0.447 eV/atom
# - Density of states at the Fermi level: 29.0 states/eV per cell
# - Total energy: -8.049 eV/atom


Record 6
# PBE CePrNdTm, optimized geometry
data_CePrNdTm
_chemical_formula_sum 'Ce4 Pr4 Nd4 Tm4'
_symmetry_space_group_name_H-M 'F -4 3 m'
_symmetry_Int_Tables_number 216
_symmetry_space_group_name_Hall 'F -4 2 3'
_cell_length_a 8.137
_cell_length_b 8.137
_cell_length_c 8.137
_cell_angle_alpha 90.00
_cell_angle_beta 90.00
_cell_angle_gamma 90.00
loop_
_atom_site_label
_atom_site_type_symbol
_atom_site_fract_x
_atom_site_fract_y
_atom_site_fract_z
Ce1 Ce 0.000 0.000 0.000
Pr1 Pr 0.250 0.250 0.750
Nd1 Nd 0.250 0.250 0.250
Tm1 Tm 0.000 0.000 0.500
# - ΔH_f (0 K): 0.197 eV/atom
# - Density of states at the Fermi level: 42.1 states/eV per cell
# - Total energy: -4.791 eV/atom


Record 7
# PBE HfScFe, optimized geometry
data_HfScFe
_chemical_formula_sum 'Hf16 Sc16 Fe16'
_symmetry_space_group_name_H-M 'F d d d'
_symmetry_Int_Tables_number 70
_cell_length_a 8.318
_cell_length_b 9.111
_cell_length_c 12.371
_cell_angle_alpha 90.00
_cell_angle_beta 90.00
_cell_angle_gamma 90.00
loop_
_symmetry_equiv_pos_as_xyz
'x,y,z'
'-x,-y,-z'
'-x+1/4,-y+1/4,z'
'x+1/4,y+1/4,-z'
'x,-y+1/4,-z+1/4'
'-x,y+1/4,z+1/4'
'-x+1/4,y,-z+1/4'
'x+1/4,-y,z+1/4'
'x,y+1/2,z+1/2'
'-x,-y+1/2,-z+1/2'
'-x+1/4,-y+3/4,z+1/2'
'x+1/4,y+3/4,-z+1/2'
'x,-y+3/4,-z+3/4'
'-x,y+3/4,z+3/4'
'-x+1/4,y+1/2,-z+3/4'
'x+1/4,-y+1/2,z+3/4'
'x+1/2,y,z+1/2'
'-x+1/2,-y,-z+1/2'
'-x+3/4,-y+1/4,z+1/2'
'x+3/4,y+1/4,-z+1/2'
'x+1/2,-y+1/4,-z+3/4'
'-x+1/2,y+1/4,z+3/4'
'-x+3/4,y,-z+3/4'
'x+3/4,-y,z+3/4'
'x+1/2,y+1/2,z'
'-x+1/2,-y+1/2,-z'
'-x+3/4,-y+3/4,z'
'x+3/4,y+3/4,-z'
'x+1/2,-y+3/4,-z+1/4'
'-x+1/2,y+3/4,z+1/4'
'-x+3/4,y+1/2,-z+1/4'
'x+3/4,-y+1/2,z+1/4'
loop_
_atom_site_label
_atom_site_type_symbol
_atom_site_fract_x
_atom_site_fract_y
_atom_site_fract_z
Hf1 Hf 0.125 0.125 0.251
Sc1 Sc 0.125 0.125 0.501
Fe1 Fe 0.125 0.361 0.125
# - ΔH_f (0 K): 0.052 eV/atom
# - E above lowest polymorph: 163 meV/atom
# - Density of states at the Fermi level: 45.2 states/eV per cell
# - Total energy: -8.197 eV/atom


Record 8
# PBE AgHg2As, optimized geometry
data_AgHg2As
_chemical_formula_sum 'Ag2 Hg4 As2'
_symmetry_space_group_name_H-M 'C 1 m 1'
_symmetry_Int_Tables_number 8
_cell_length_a 13.367
_cell_length_b 2.888
_cell_length_c 5.145
_cell_angle_alpha 90.00
_cell_angle_beta 112.61
_cell_angle_gamma 90.00
loop_
_symmetry_equiv_pos_as_xyz
'x,y,z'
'x,-y,z'
'x+1/2,y+1/2,z'
'x+1/2,-y+1/2,z'
loop_
_atom_site_label
_atom_site_type_symbol
_atom_site_fract_x
_atom_site_fract_y
_atom_site_fract_z
Ag1 Ag 0.000 0.000 0.000
Hg1 Hg 0.038 0.500 0.538
Hg2 Hg 0.225 0.500 0.224
As1 As 0.308 0.000 0.807
# - ΔH_f (0 K): 0.187 eV/atom
# - Density of states at the Fermi level: 3.7 states/eV per cell
# - Total energy: -1.839 eV/atom


Record 9
# PBE K2AsRuS, optimized geometry
data_K2AsRuS
_chemical_formula_sum 'K2 As1 Ru1 S1'
_symmetry_space_group_name_H-M 'P 4/m m m'
_symmetry_Int_Tables_number 123
_symmetry_space_group_name_Hall '-P 4 2'
_cell_length_a 6.514
_cell_length_b 6.514
_cell_length_c 4.616
_cell_angle_alpha 90.00
_cell_angle_beta 90.00
_cell_angle_gamma 90.00
loop_
_atom_site_label
_atom_site_type_symbol
_atom_site_fract_x
_atom_site_fract_y
_atom_site_fract_z
K1 K 0.000 0.500 0.000
As1 As 0.000 0.000 0.000
Ru1 Ru 0.500 0.500 0.500
S1 S 0.000 0.000 0.500
# - Formation energy (no corrections): 0.895 eV/atom
# - Density of states at the Fermi level: 9.9 states/eV per cell
# - Total energy: -3.154 eV/atom


Record 10
# PBE NaPu2Tl6, optimized geometry
data_NaPu2Tl6
_chemical_formula_sum 'Na2 Pu4 Tl12'
_symmetry_space_group_name_H-M 'C 1 2/m 1'
_symmetry_Int_Tables_number 12
_cell_length_a 16.241
_cell_length_b 9.340
_cell_length_c 3.323
_cell_angle_alpha 90.00
_cell_angle_beta 90.12
_cell_angle_gamma 90.00
loop_
_symmetry_equiv_pos_as_xyz
'x,y,z'
'-x,-y,-z'
'-x,y,-z'
'x,-y,z'
'x+1/2,y+1/2,z'
'-x+1/2,-y+1/2,-z'
'-x+1/2,y+1/2,-z'
'x+1/2,-y+1/2,z'
loop_
_atom_site_label
_atom_site_type_symbol
_atom_site_fract_x
_atom_site_fract_y
_atom_site_fract_z
Na1 Na 0.000 0.000 0.000
Pu1 Pu 0.167 0.500 0.000
Tl1 Tl 0.000 0.332 0.500
Tl2 Tl 0.166 0.167 0.495
# - ΔH_f (0 K): 0.002 eV/atom
# - Density of states at the Fermi level: 43.1 states/eV per cell
# - Total energy: -4.907 eV/atom


Record 11
# PBE DyHo2Tm6Sc, optimized geometry
data_DyHo2Tm6Sc
_chemical_formula_sum 'Dy4 Ho8 Tm24 Sc4'
_symmetry_space_group_name_H-M 'C 1 2/c 1'
_symmetry_Int_Tables_number 15
_cell_length_a 8.906
_cell_length_b 14.655
_cell_length_c 9.319
_cell_angle_alpha 90.00
_cell_angle_beta 97.51
_cell_angle_gamma 90.00
loop_
_symmetry_equiv_pos_as_xyz
'x,y,z'
'-x,-y,-z'
'-x,y,-z+1/2'
'x,-y,z+1/2'
'x+1/2,y+1/2,z'
'-x+1/2,-y+1/2,-z'
'-x+1/2,y+1/2,-z+1/2'
'x+1/2,-y+1/2,z+1/2'
loop_
_atom_site_label
_atom_site_type_symbol
_atom_site_fract_x
_atom_site_fract_y
_atom_site_fract_z
Dy1 Dy 0.000 0.022 0.250
Ho1 Ho 0.248 0.448 0.453
Tm1 Tm 0.060 0.188 0.943
Tm2 Tm 0.101 0.393 0.116
Tm3 Tm 0.212 0.222 0.311
Sc1 Sc 0.000 0.412 0.750
# - ΔH_f (0 K): 0.128 eV/atom
# - Density of states at the Fermi level: 51.9 states/eV per cell
# - Total energy: -4.564 eV/atom


Record 12
# PBE Rb2LiTbF6, optimized geometry
data_Rb2LiTbF6
_chemical_formula_sum 'Rb4 Li2 Tb2 F12'
_symmetry_space_group_name_H-M 'C 1 2/m 1'
_symmetry_Int_Tables_number 12
_cell_length_a 10.663
_cell_length_b 6.154
_cell_length_c 6.154
_cell_angle_alpha 90.00
_cell_angle_beta 125.25
_cell_angle_gamma 90.00
loop_
_symmetry_equiv_pos_as_xyz
'x,y,z'
'-x,-y,-z'
'-x,y,-z'
'x,-y,z'
'x+1/2,y+1/2,z'
'-x+1/2,-y+1/2,-z'
'-x+1/2,y+1/2,-z'
'x+1/2,-y+1/2,z'
loop_
_atom_site_label
_atom_site_type_symbol
_atom_site_fract_x
_atom_site_fract_y
_atom_site_fract_z
Rb1 Rb 0.250 0.000 0.250
Li1 Li 0.000 0.000 0.500
Tb1 Tb 0.000 0.500 0.000
F1 F 0.000 0.247 0.253
F2 F 0.247 0.000 0.748
# - Formation energy (no corrections): -3.344 eV/atom
# - Density of states at the Fermi level: 0.0 states/eV per cell
# - Total energy: -5.315 eV/atom